Record 1
An optimized crystal structure of Fe2CoO4. Source: Alexandria via LeMat-Bulk, functional PBE with a Hubbard U.

Cell lengths 5.980, 5.980, 5.980 Å; angles 119.52, 118.76, 91.50 degrees
Atoms (fractional coordinates):
Fe 0.000 0.000 0.000
Fe 0.384 0.634 0.750
Fe 0.500 0.000 0.500
Fe 0.616 0.366 0.250
Co 0.000 0.000 0.500
Co 0.000 0.500 0.000
O 0.223 0.233 0.990
O 0.252 0.241 0.489
O 0.252 0.763 0.011
O 0.257 0.767 0.490
O 0.743 0.233 0.510
O 0.748 0.237 0.989
O 0.748 0.759 0.511
O 0.777 0.767 0.010

Computed properties:
The energy above the most stable polymorph in this dataset comes out at 0.0 meV per atom. As for the crystal system: orthorhombic.

=====

Record 2
An optimized crystal structure of FeCo2OsO6. Source: Alexandria via LeMat-Bulk, functional PBE with a Hubbard U.

Cell lengths 5.100, 5.126, 5.465 Å; angles 90.25, 117.46, 119.50 degrees
Atoms (fractional coordinates):
Fe 0.000 0.000 0.000
Co 0.408 0.701 0.108
Co 0.414 0.206 0.624
Os 0.004 0.501 0.508
O 0.179 0.886 0.794
O 0.189 0.776 0.301
O 0.506 0.613 0.808
O 0.520 0.402 0.299
O 0.899 0.122 0.298
O 0.899 0.285 0.790

Computed properties:
As for the crystal system: triclinic. The calculation puts the calculated total energy at -6.7008 eV/atom.